(1)
First-principles (SCAN) data for a crystal of ZrCo5Si3 relaxed with PBEsol, as listed in the Alexandria database.

abc: 14.3353 14.3353 3.5924
angles: 90.00 90.00 120.00
Closest atoms and distances in Å follow each position.
Sites, in units of the cell vectors:
1 Zr 0.1004 0.7061 0.2500  6 Si 2.78-2.83, 9 Co 2.86-3.10
2 Zr 0.2939 0.3943 0.2500  6 Si 2.78-2.83, 9 Co 2.86-3.10
3 Zr 0.3943 0.1004 0.7500  6 Si 2.78-2.83, 9 Co 2.86-3.10
4 Zr 0.6057 0.8996 0.2500  6 Si 2.78-2.83, 9 Co 2.86-3.10
5 Zr 0.7061 0.6057 0.7500  6 Si 2.78-2.83, 9 Co 2.86-3.10
6 Zr 0.8996 0.2939 0.7500  6 Si 2.78-2.83, 9 Co 2.86-3.10
7 Co 0.0269 0.8989 0.2500  3 Si 2.22-2.38, 5 Co 2.46-2.47
8 Co 0.0494 0.2682 0.2500  4 Si 2.19-2.25
9 Co 0.0741 0.5339 0.7500  4 Si 2.22-2.29, 1 Co 2.45
10 Co 0.1011 0.1280 0.2500  3 Si 2.22-2.38, 5 Co 2.46-2.47
11 Co 0.1280 0.0269 0.7500  3 Si 2.22-2.38, 5 Co 2.46-2.47
12 Co 0.1492 0.4133 0.7500  4 Si 2.24-2.29, 1 Co 2.45
13 Co 0.2188 0.9506 0.2500  4 Si 2.19-2.25
14 Co 0.2238 0.5712 0.2500  5 Si 2.23-2.34
15 Co 0.2641 0.8508 0.7500  4 Si 2.24-2.29, 1 Co 2.45
16 Co 0.2682 0.2188 0.7500  4 Si 2.19-2.25
17 Co 0.3474 0.7762 0.2500  5 Si 2.23-2.34
18 Co 0.4133 0.2641 0.2500  4 Si 2.24-2.29, 1 Co 2.45
19 Co 0.4288 0.6526 0.2500  5 Si 2.23-2.34
20 Co 0.4599 0.9259 0.7500  4 Si 2.22-2.29, 1 Co 2.45
21 Co 0.4661 0.5401 0.7500  4 Si 2.22-2.29, 1 Co 2.45
22 Co 0.5339 0.4599 0.2500  4 Si 2.22-2.29, 1 Co 2.45
23 Co 0.5401 0.0741 0.2500  4 Si 2.22-2.29, 1 Co 2.45
24 Co 0.5712 0.3474 0.7500  5 Si 2.23-2.34
25 Co 0.5867 0.7359 0.7500  4 Si 2.24-2.29, 1 Co 2.45
26 Co 0.6526 0.2238 0.7500  5 Si 2.23-2.34
27 Co 0.7318 0.7812 0.2500  4 Si 2.19-2.25
28 Co 0.7359 0.1492 0.2500  4 Si 2.24-2.29, 1 Co 2.45
29 Co 0.7762 0.4288 0.7500  5 Si 2.23-2.34
30 Co 0.7812 0.0494 0.7500  4 Si 2.19-2.25
31 Co 0.8508 0.5867 0.2500  4 Si 2.24-2.29, 1 Co 2.45
32 Co 0.8720 0.9731 0.2500  3 Si 2.22-2.38, 5 Co 2.46-2.47
33 Co 0.8989 0.8720 0.7500  3 Si 2.22-2.38, 5 Co 2.46-2.47
34 Co 0.9259 0.4661 0.2500  4 Si 2.22-2.29, 1 Co 2.45
35 Co 0.9506 0.7318 0.7500  4 Si 2.19-2.25
36 Co 0.9731 0.1011 0.7500  3 Si 2.22-2.38, 5 Co 2.46-2.47
37 Si 0.0586 0.4283 0.2500  7 Co 2.22-2.29
38 Si 0.1163 0.8663 0.7500  7 Co 2.19-2.38
39 Si 0.1337 0.2500 0.7500  7 Co 2.19-2.38
40 Si 0.2369 0.6820 0.7500  6 Co 2.24-2.34
41 Si 0.2500 0.1163 0.2500  7 Co 2.19-2.38
42 Si 0.3180 0.5549 0.7500  6 Co 2.24-2.34
43 Si 0.3697 0.9414 0.2500  7 Co 2.22-2.29
44 Si 0.4283 0.3697 0.7500  7 Co 2.22-2.29
45 Si 0.4451 0.7631 0.7500  6 Co 2.24-2.34
46 Si 0.5549 0.2369 0.2500  6 Co 2.24-2.34
47 Si 0.5717 0.6303 0.2500  7 Co 2.22-2.29
48 Si 0.6303 0.0586 0.7500  7 Co 2.22-2.29
49 Si 0.6820 0.4451 0.2500  6 Co 2.24-2.34
50 Si 0.7500 0.8837 0.7500  7 Co 2.19-2.38
51 Si 0.7631 0.3180 0.2500  6 Co 2.24-2.34
52 Si 0.8663 0.7500 0.2500  7 Co 2.19-2.38
53 Si 0.8837 0.1337 0.2500  7 Co 2.19-2.38
54 Si 0.9414 0.5717 0.7500  7 Co 2.22-2.29

Values from the calculation:
total DFT energy (no corrections): -152.34 eV/f.u.

(2)
First-principles (SCAN) data for a crystal of ReAg2Hg relaxed with PBEsol, as listed in the Alexandria database.

abc: 9.7760 9.7760 9.7760
angles: 16.61 16.61 16.61
Closest atoms and distances in Å follow each position.
Sites, in units of the cell vectors:
1 Re 0.0000 0.0000 0.0000  3 Ag 2.82, 6 Re 2.82, 3 Hg 2.95
2 Ag 0.4941 0.4941 0.4941  9 Ag 2.82-2.86, 3 Hg 3.01
3 Ag 0.7461 0.7461 0.7461  3 Re 2.82, 9 Ag 2.82-2.86
4 Hg 0.2483 0.2483 0.2483  6 Hg 2.82, 3 Re 2.95, 3 Ag 3.01

Values from the calculation:
total DFT energy (no corrections): -200.01 eV/f.u.

(3)
First-principles (SCAN) data for a crystal of LaMgIr2 relaxed with PBEsol, as listed in the Alexandria database.

abc: 5.9959 5.9959 5.9959
angles: 151.01 132.40 56.70
Closest atoms and distances in Å follow each position.
Sites, in units of the cell vectors:
1 La 0.0000 0.0000 0.0000  6 Ir 2.87-3.15, 2 La 3.00
2 Mg 0.2979 0.7979 0.5000  6 Ir 2.90-2.92, 2 Mg 3.00, 2 La 3.23
3 Ir 0.5335 0.5335 0.0000  2 Ir 2.63, 4 La 2.87, 2 Mg 2.90
4 Ir 0.7380 0.2380 0.5000  2 Ir 2.63, 4 Mg 2.92

Values from the calculation:
total DFT energy (no corrections): -191.51 eV/f.u.

(4)
First-principles (SCAN) data for a crystal of BRu3N relaxed with PBEsol, as listed in the Alexandria database.

abc: 3.8755 3.8755 3.8755
angles: 90.00 90.00 90.00
Closest atoms and distances in Å follow each position.
Sites, in units of the cell vectors:
1 B 0.0000 0.0000 0.0000  12 Ru 2.74
2 Ru 0.0000 0.5000 0.5000  2 N 1.94
3 Ru 0.5000 0.0000 0.5000  2 N 1.94
4 Ru 0.5000 0.5000 0.0000  2 N 1.94
5 N 0.5000 0.5000 0.5000  6 Ru 1.94

Values from the calculation:
total DFT energy (no corrections): -117.21 eV/f.u.

(5)
First-principles (SCAN) data for a crystal of AlNi3 relaxed with PBEsol, as listed in the Alexandria database.

abc: 3.9534 3.9534 3.9534
angles: 60.00 60.00 60.00
Closest atoms and distances in Å follow each position.
Sites, in units of the cell vectors:
1 Al 0.0000 0.0000 0.0000  8 Ni 2.42
2 Ni 0.2500 0.2500 0.2500  4 Ni 2.42, 4 Al 2.42
3 Ni 0.5000 0.5000 0.5000  8 Ni 2.42
4 Ni 0.7500 0.7500 0.7500  4 Ni 2.42, 4 Al 2.42

Values from the calculation:
total DFT energy (no corrections): -57.87 eV/f.u.

(6)
First-principles (SCAN) data for a crystal of Tl2SbPb relaxed with PBEsol, as listed in the Alexandria database.

abc: 6.3067 6.3067 3.2154
angles: 90.00 90.00 116.49
Closest atoms and distances in Å follow each position.
Sites, in units of the cell vectors:
1 Tl 0.0000 0.5000 0.0000  4 Tl 3.22-3.32, 4 Pb 3.54, 4 Sb 3.54
2 Tl 0.5000 0.0000 0.0000  4 Tl 3.22-3.32, 4 Pb 3.54, 4 Sb 3.54
3 Sb 0.0000 0.0000 0.5000  2 Sb 3.22, 2 Pb 3.32, 8 Tl 3.54
4 Pb 0.5000 0.5000 0.5000  2 Pb 3.22, 2 Sb 3.32, 8 Tl 3.54

Values from the calculation:
offset from the most stable computed form: 32 meV/atom
total DFT energy (no corrections): -257.61 eV/f.u.